Version P
Ta3TiCo | GGA-PBE | optimized geometry

Results
For the total magnetization, the calculation gives 0.01 μB/cell. As for the space group: Pm-3m.

Cell lengths 4.585, 4.585, 4.585 Å; angles 90.00, 90.00, 90.00 degrees
Sites, in units of the cell vectors:
1 Ta 0.000 0.000 0.500
2 Ta 0.000 0.500 0.000
3 Ta 0.500 0.000 0.000
4 Ti 0.500 0.500 0.500
5 Co 0.000 0.000 0.000

***

Version Q
Ta3TiCo | GGA-PBE | optimized geometry

Results
For the total magnetization, the calculation gives 0.00 μB/cell. As for the space group: P2_1/m.

Cell lengths 7.512, 2.909, 7.985 Å; angles 90.00, 105.24, 90.00 degrees
Sites, in units of the cell vectors:
1 Ta 0.026 0.250 0.163
2 Ta 0.321 0.250 0.887
3 Ta 0.335 0.750 0.539
4 Ta 0.665 0.250 0.461
5 Ta 0.679 0.750 0.113
6 Ta 0.974 0.750 0.837
7 Ti 0.357 0.750 0.202
8 Ti 0.643 0.250 0.798
9 Co 0.077 0.250 0.603
10 Co 0.923 0.750 0.397

***

Least stable = version P

***

Version P
Ta2TlCo | GGA-PBE | optimized geometry

Results
For the total magnetization, the calculation gives 0.00 μB/cell. As for the space group: I-42d.

Cell lengths 5.889, 5.889, 5.889 Å; angles 102.58, 102.58, 124.36 degrees
Sites, in units of the cell vectors:
1 Ta 0.064 0.625 0.939
2 Ta 0.375 0.314 0.439
3 Ta 0.686 0.125 0.061
4 Ta 0.875 0.936 0.561
5 Tl 0.250 0.750 0.500
6 Tl 0.500 0.500 0.000
7 Co 0.000 0.000 0.000
8 Co 0.750 0.250 0.500

***

Version Q
Ta2TlCo | GGA-PBE | optimized geometry

Results
For the total magnetization, the calculation gives 1.86 μB/cell. As for the space group: I-4m2.

Cell lengths 5.173, 5.173, 5.173 Å; angles 134.22, 134.22, 66.75 degrees
Sites, in units of the cell vectors:
1 Ta 0.000 0.000 0.000
2 Ta 0.750 0.250 0.500
3 Tl 0.250 0.750 0.500
4 Co 0.500 0.500 0.000

***

Version R
Ta2TlCo | GGA-PBE | optimized geometry

Results
For the total magnetization, the calculation gives 2.24 μB/cell. As for the space group: F-43m.

Cell lengths 4.639, 4.639, 4.639 Å; angles 60.00, 60.00, 60.00 degrees
Sites, in units of the cell vectors:
1 Ta 0.000 0.000 0.000
2 Ta 0.250 0.250 0.250
3 Tl 0.750 0.750 0.750
4 Co 0.500 0.500 0.500

***

Least stable = version R

***

Version P
TmTaCo2 | GGA-PBE | optimized geometry

Results
For the total magnetization, the calculation gives 0.00 μB/cell. As for the space group: P4/mmm.

Cell lengths 3.103, 3.103, 6.686 Å; angles 90.00, 90.00, 90.00 degrees
Sites, in units of the cell vectors:
1 Tm 0.000 0.000 0.000
2 Ta 0.000 0.000 0.500
3 Co 0.500 0.500 0.295
4 Co 0.500 0.500 0.705

***

Version Q
TmTaCo2 | GGA-PBE | optimized geometry

Results
For the total magnetization, the calculation gives 1.05 μB/cell. As for the space group: Fm-3m.

Cell lengths 4.472, 4.472, 4.472 Å; angles 60.00, 60.00, 60.00 degrees
Sites, in units of the cell vectors:
1 Tm 0.000 0.000 0.000
2 Ta 0.500 0.500 0.500
3 Co 0.250 0.250 0.250
4 Co 0.750 0.750 0.750

***

Least stable = version Q

***

Version P
TmTaCo2 | GGA-PBE | optimized geometry

Results
For the total magnetization, the calculation gives 1.27 μB/cell. As for the space group: P4/mmm.

Cell lengths 4.550, 4.550, 3.045 Å; angles 90.00, 90.00, 90.00 degrees
Sites, in units of the cell vectors:
1 Tm 0.000 0.000 0.000
2 Ta 0.500 0.500 0.000
3 Co 0.000 0.500 0.500
4 Co 0.500 0.000 0.500

***

Version Q
TmTaCo2 | GGA-PBE | optimized geometry

Results
For the total magnetization, the calculation gives 0.00 μB/cell. As for the space group: R-3m.

Cell lengths 5.085, 5.085, 5.085 Å; angles 48.55, 48.55, 48.55 degrees
Sites, in units of the cell vectors:
1 Tm 0.000 0.000 0.000
2 Ta 0.500 0.500 0.500
3 Co 0.215 0.215 0.215
4 Co 0.785 0.785 0.785

***

Least stable = version P

***

Version P
TaV2Co | GGA-PBE | optimized geometry

Results
For the total magnetization, the calculation gives 0.59 μB/cell. As for the space group: Fm-3m.

Cell lengths 4.275, 4.275, 4.275 Å; angles 60.00, 60.00, 60.00 degrees
Sites, in units of the cell vectors:
1 Ta 0.000 0.000 0.000
2 V 0.250 0.250 0.250
3 V 0.750 0.750 0.750
4 Co 0.500 0.500 0.500

***

Version Q
TaV2Co | GGA-PBE | optimized geometry

Results
For the total magnetization, the calculation gives 0.00 μB/cell. As for the space group: I-42d.

Cell lengths 5.450, 5.450, 5.450 Å; angles 102.31, 102.31, 124.99 degrees
Sites, in units of the cell vectors:
1 Ta 0.000 0.000 0.000
2 Ta 0.750 0.250 0.500
3 V 0.161 0.625 0.036
4 V 0.375 0.411 0.536
5 V 0.589 0.125 0.964
6 V 0.875 0.839 0.464
7 Co 0.250 0.750 0.500
8 Co 0.500 0.500 0.000

***

Least stable = version Q

***

Version P
TaVCo4 | GGA-PBE | optimized geometry

Results
For the total magnetization, the calculation gives 6.35 μB/cell. As for the space group: Imma.

Cell lengths 6.277, 6.277, 6.277 Å; angles 139.97, 100.24, 93.24 degrees
Sites, in units of the cell vectors:
1 Ta 0.372 0.122 0.250
2 Ta 0.628 0.878 0.750
3 V 0.124 0.374 0.750
4 V 0.876 0.626 0.250
5 Co 0.047 0.138 0.910
6 Co 0.200 0.616 0.584
7 Co 0.272 0.862 0.410
8 Co 0.467 0.384 0.084
9 Co 0.533 0.616 0.916
10 Co 0.728 0.138 0.590
11 Co 0.800 0.384 0.416
12 Co 0.953 0.862 0.090

***

Version Q
TaVCo4 | GGA-PBE | optimized geometry

Results
For the total magnetization, the calculation gives 2.26 μB/cell. As for the space group: F-43m.

Cell lengths 4.684, 4.684, 4.684 Å; angles 60.00, 60.00, 60.00 degrees
Sites, in units of the cell vectors:
1 Ta 0.000 0.000 0.000
2 V 0.750 0.750 0.750
3 Co 0.376 0.376 0.376
4 Co 0.376 0.376 0.873
5 Co 0.376 0.873 0.376
6 Co 0.873 0.376 0.376

***

Version R
TaVCo4 | GGA-PBE | optimized geometry

Results
For the total magnetization, the calculation gives 3.37 μB/cell. As for the space group: P-1.

Cell lengths 3.996, 4.755, 4.963 Å; angles 63.33, 66.29, 65.31 degrees
Sites, in units of the cell vectors:
1 Ta 0.000 0.000 0.000
2 V 0.000 0.500 0.500
3 Co 0.318 0.034 0.330
4 Co 0.344 0.506 0.806
5 Co 0.656 0.494 0.194
6 Co 0.682 0.966 0.670

***

Least stable = version R